Entry 1:
Here is a geometry-optimized DyAg3Pt8 structure from Alexandria via LeMat-Bulk. Energies are from GGA-PBE.

The structure belongs to space group Cm (No. 8); the cell edges are 9.241, 5.334 and 9.232 Å and the angles 90.00°, 109.47° and 90.00°. The distinct sites, in fractional coordinates, are Dy at (0.000, 0.000, 0.000), Ag at (0.001, 0.500, 0.504), Ag at (0.372, 0.500, 0.615), Ag at (0.381, 0.000, 0.141), Pt at (0.187, 0.250, 0.312), Pt at (0.188, 0.000, 0.562), Pt at (0.188, 0.249, 0.812), Pt at (0.189, 0.500, 0.063), Pt at (0.437, 0.000, 0.814) and Pt at (0.438, 0.500, 0.313).

The total magnetization comes out at 0.00 μB per formula unit. The calculation puts the volume at 17.88 Å³ per atom. For the energy relative to the elements, the calculation gives -0.34 eV per atom.



Entry 2:
Here is a geometry-optimized DyPu2S5 structure from Alexandria via LeMat-Bulk. Energies are from GGA-PBE.

The structure belongs to space group Fmmm (No. 69); the cell edges are 5.306, 8.620 and 15.231 Å and the angles 90.00°, 90.00° and 90.00°. The distinct sites, in fractional coordinates, are Dy at (0.000, 0.000, 0.000), Pu at (0.000, 0.000, 0.322), S at (0.000, 0.000, 0.500) and S at (0.000, 0.164, 0.157).

The total magnetization comes out at 9.15 μB per formula unit. The calculation puts the volume at 21.77 Å³ per atom. The calculation puts the uncorrected formation energy at -1.4616 eV/atom.